[1]
Mg2IrRh (GGA-PBE, relaxed); total DFT energy (no corrections) = -5.0554 eV/atom; crystal system = orthorhombic; E_form = -19.78 kJ per mole of atoms; D(E_F) = 1.15 states/eV/atom
1.0
2.828 0.000 0.000
0.000 4.064 0.000
0.000 0.000 5.480
Mg Ir Rh
2 1 1
direct
0.000 0.000 0.000
0.500 0.500 0.289
0.500 0.500 0.775
0.000 0.000 0.519

[2]
MgIrRuRh (GGA-PBE, relaxed); total DFT energy (no corrections) = -6.6938 eV/atom; crystal system = cubic; E_form = 7.42 kJ per mole of atoms; D(E_F) = 1.12 states/eV/atom
1.0
0.000 3.116 3.116
3.116 0.000 3.116
3.116 3.116 0.000
Mg Ir Ru Rh
1 1 1 1
direct
0.000 0.000 0.000
0.250 0.250 0.250
0.500 0.500 0.500
0.750 0.750 0.750

[3]
Mg2IrRuRh (GGA-PBE, relaxed); total DFT energy (no corrections) = -4.7278 eV/atom; crystal system = tetragonal; E_form = 97.23 kJ per mole of atoms; D(E_F) = 0.76 states/eV/atom
1.0
4.805 0.000 0.000
0.000 4.805 0.000
0.000 0.000 4.660
Mg Ir Ru Rh
2 1 1 1
direct
0.000 0.500 0.000
0.500 0.000 0.000
0.000 0.000 0.000
0.500 0.500 0.500
0.000 0.000 0.500

[4]
Mg3Sn3Ir2Rh (GGA-PBE, relaxed); total DFT energy (no corrections) = -5.0552 eV/atom; crystal system = hexagonal; E_form = -38.93 kJ per mole of atoms; D(E_F) = 0.49 states/eV/atom
1.0
7.556 0.000 0.000
-3.778 6.544 0.000
0.000 0.000 3.347
Mg Sn Ir Rh
3 3 2 1
direct
0.000 0.386 0.000
0.386 0.000 0.000
0.614 0.614 0.000
0.000 0.717 0.500
0.283 0.283 0.500
0.717 0.000 0.500
0.333 0.667 0.500
0.667 0.333 0.500
0.000 0.000 0.000

[5]
MgSn2IrRh (GGA-PBE, relaxed); total DFT energy (no corrections) = -4.6680 eV/atom; crystal system = tetragonal; E_form = 47.72 kJ per mole of atoms; D(E_F) = 1.01 states/eV/atom
1.0
5.042 0.000 0.000
0.000 5.042 0.000
0.000 0.000 5.042
Mg Sn Ir Rh
1 2 1 1
direct
0.000 0.000 0.000
0.000 0.500 0.500
0.500 0.000 0.500
0.500 0.500 0.500
0.500 0.500 0.000

[6]
Mg3Sn3IrRh2 (GGA-PBE, relaxed); total DFT energy (no corrections) = -4.8984 eV/atom; crystal system = hexagonal; E_form = -39.98 kJ per mole of atoms; D(E_F) = 0.42 states/eV/atom
1.0
7.542 0.000 0.000
-3.771 6.532 0.000
0.000 0.000 3.302
Mg Sn Ir Rh
3 3 1 2
direct
0.000 0.721 0.000
0.279 0.279 0.000
0.721 0.000 0.000
0.000 0.374 0.500
0.374 0.000 0.500
0.626 0.626 0.500
0.000 0.000 0.500
0.333 0.667 0.000
0.667 0.333 0.000

[7]
Sr2Mg6IrRh (GGA-PBE, relaxed); total DFT energy (no corrections) = -3.1542 eV/atom; crystal system = monoclinic; E_form = -23.14 kJ per mole of atoms; D(E_F) = 0.36 states/eV/atom
1.0
5.079 -5.087 0.000
5.079 5.087 0.000
-5.072 0.000 5.091
Sr Mg Ir Rh
2 6 1 1
direct
0.250 0.750 0.000
0.750 0.250 0.000
0.249 0.249 0.500
0.249 0.751 0.500
0.250 0.250 0.999
0.750 0.750 0.001
0.751 0.249 0.500
0.751 0.751 0.500
0.500 0.500 0.500
0.000 0.000 0.500

[8]
SrMg2IrRh (GGA-PBE, relaxed); total DFT energy (no corrections) = -4.1831 eV/atom; crystal system = tetragonal; E_form = 3.25 kJ per mole of atoms; D(E_F) = 0.56 states/eV/atom
1.0
4.936 0.000 0.000
0.000 4.936 0.000
0.000 0.000 4.925
Sr Mg Ir Rh
1 2 1 1
direct
0.000 0.000 0.000
0.000 0.500 0.500
0.500 0.000 0.500
0.500 0.500 0.000
0.500 0.500 0.500

[9]
MgTa2IrRh (GGA-PBE, relaxed); total DFT energy (no corrections) = -7.3302 eV/atom; crystal system = tetragonal; E_form = 93.81 kJ per mole of atoms; D(E_F) = 1.17 states/eV/atom
1.0
4.782 0.000 0.000
0.000 4.782 0.000
0.000 0.000 4.968
Mg Ta Ir Rh
1 2 1 1
direct
0.000 0.000 0.000
0.000 0.500 0.500
0.500 0.000 0.500
0.500 0.500 0.500
0.500 0.500 0.000

[10]
MgTaIrRh (GGA-PBE, relaxed); total DFT energy (no corrections) = -8.0012 eV/atom; crystal system = cubic; E_form = -56.57 kJ per mole of atoms; D(E_F) = 0.85 states/eV/atom
1.0
0.000 3.154 3.154
3.154 0.000 3.154
3.154 3.154 0.000
Mg Ta Ir Rh
1 1 1 1
direct
0.000 0.000 0.000
0.500 0.500 0.500
0.250 0.250 0.250
0.750 0.750 0.750

[11]
Mg2TaIrRh (GGA-PBE, relaxed); total DFT energy (no corrections) = -5.2712 eV/atom; crystal system = tetragonal; E_form = 94.52 kJ per mole of atoms; D(E_F) = 1.22 states/eV/atom
1.0
4.562 0.000 0.000
0.000 4.562 0.000
0.000 0.000 4.834
Mg Ta Ir Rh
2 1 1 1
direct
0.000 0.500 0.000
0.500 0.000 0.000
0.000 0.000 0.500
0.500 0.500 0.500
0.500 0.500 0.000

[12]
TbMgIrRh (GGA-PBE, relaxed); total DFT energy (no corrections) = -6.2256 eV/atom; crystal system = cubic; E_form = -59.46 kJ per mole of atoms; D(E_F) = 0.42 states/eV/atom
1.0
0.000 3.294 3.294
3.294 0.000 3.294
3.294 3.294 0.000
Tb Mg Ir Rh
1 1 1 1
direct
0.000 0.000 0.000
0.500 0.500 0.500
0.750 0.750 0.750
0.250 0.250 0.250